The following is a DFT calculation (PBE) of an optimized crystal structure of CdOs2Ru2.

Summary:
energy relative to the elements = 391 meV per atom
total energy = -7.994 eV/atom
SG = No. 127

Unit cell a=7.6092 b=7.6092 c=2.7493 alpha=90.00 beta=90.00 gamma=90.00
Fractional positions:
Cd 0.0000 0.0000 0.0000
Cd 0.5000 0.5000 0.0000
Os 0.1680 0.3320 0.5000
Os 0.3320 0.8320 0.5000
Os 0.6680 0.1680 0.5000
Os 0.8320 0.6680 0.5000
Ru 0.1229 0.6229 0.0000
Ru 0.3771 0.1229 0.0000
Ru 0.6229 0.8771 0.0000
Ru 0.8771 0.3771 0.0000